Entry 1:
Compound: LuCuRe
Source: OQMD
Functional: PBE
Structure: optimized geometry

## Properties
**Theoretical density**: 10.98 g cm⁻³
**Crystal system**: cubic
**E_form**: 133 kJ/mol of atoms
**Energy**: -16.54 eV/cell
**ΔE to the lowest computed polymorph**: 0.387 eV per atom
**Magnetization**: 2.1 μB/f.u.
**Symmetry**: F-43m, No. 216

Lattice parameters (Å, degrees): 4.495 4.495 4.495 60.00 60.00 60.00
Atoms (fractional coordinates):
Lu 0.000 0.000 0.000
Cu 0.750 0.750 0.750
Re 0.250 0.250 0.250

=====

Entry 2:
Compound: LiZr3S5
Source: OQMD
Functional: PBE
Structure: optimized geometry

## Properties
**Theoretical density**: 3.27 g cm⁻³
**Crystal system**: hexagonal
**Energy**: -58.16 eV/cell
**Magnetization**: 0.0 μB/f.u.
**Symmetry**: P6/mmm, No. 191

Lattice parameters (Å, degrees): 6.096 6.096 6.952 90.00 90.00 120.00
Atoms (fractional coordinates):
Li 0.000 0.000 0.000
Zr 0.000 0.500 0.500
Zr 0.500 0.000 0.500
Zr 0.500 0.500 0.500
S 0.000 0.000 0.500
S 0.333 0.667 0.232
S 0.333 0.667 0.768
S 0.667 0.333 0.232
S 0.667 0.333 0.768